Entry 1:
The following is a PBE-GGA calculation of an optimized crystal structure of Ho2MgCd4, from Alexandria via LeMat-Bulk.

Cell: 5.124 5.124 8.604 Å, 107.32 107.32 90.00°
Element x y z (fractional)
Cd1 0.000 0.500 0.000
Ho1 0.619 0.619 0.238
Ho2 0.381 0.381 0.762
Cd2 0.183 0.183 0.367
Cd3 0.500 0.000 0.000
Mg1 0.000 0.000 0.000
Cd4 0.817 0.817 0.633

Properties
M_tot in μB per formula unit: 0.0
E above lowest polymorph in eV per atom: 0.299
DOS(E_F) in states/eV/atom: 0.9381
ΔH_f (0 K) in eV/atom: 0.1916
Space-group type: I4/mmm, No. 139

Entry 2:
The following is a PBE-GGA calculation of an optimized crystal structure of Ho3MgCd3, from Alexandria via LeMat-Bulk.

Cell: 6.358 6.358 9.893 Å, 91.74 91.74 110.90°
Element x y z (fractional)
Cd1 0.972 0.972 0.226
Cd2 0.518 0.949 0.743
Mg1 0.713 0.713 0.968
Ho1 0.572 0.572 0.325
Ho2 0.767 0.233 0.000
Ho3 0.428 0.428 0.675
Mg2 0.287 0.287 0.032
Cd3 0.482 0.051 0.257
Cd4 0.028 0.028 0.774
Ho4 0.827 0.173 0.500
Ho5 0.233 0.767 0.000
Cd5 0.949 0.518 0.743
Cd6 0.051 0.482 0.257
Ho6 0.173 0.827 0.500

Properties
M_tot in μB per formula unit: 0.0
E above lowest polymorph in eV per atom: 0.000
DOS(E_F) in states/eV/atom: 0.9355
ΔH_f (0 K) in eV/atom: -0.1385
Space-group type: C2/m, No. 12

Entry 3:
The following is a PBE-GGA calculation of an optimized crystal structure of Ho3Mg7Cd2, from Alexandria via LeMat-Bulk.

Cell: 5.990 5.990 10.181 Å, 72.89 72.89 60.00°
Element x y z (fractional)
Cd1 0.666 0.666 0.003
Mg1 0.415 0.415 0.248
Ho1 0.000 0.000 0.000
Mg2 0.585 0.078 0.752
Cd2 0.334 0.334 0.997
Ho2 0.145 0.145 0.566
Mg3 0.078 0.585 0.752
Mg4 0.500 0.500 0.500
Mg5 0.415 0.922 0.248
Mg6 0.585 0.585 0.752
Ho3 0.855 0.855 0.434
Mg7 0.922 0.415 0.248

Properties
M_tot in μB per formula unit: 0.0
DOS(E_F) in states/eV/atom: 0.8745
ΔH_f (0 K) in eV/atom: -0.0871
Space-group type: R-3m, No. 166

Entry 4:
The following is a PBE-GGA calculation of an optimized crystal structure of HoMgCd2, from Alexandria via LeMat-Bulk.

Cell: 3.383 3.383 8.178 Å, 90.00 90.00 90.00°
Element x y z (fractional)
Cd1 0.000 0.000 0.234
Mg1 0.500 0.500 0.000
Cd2 0.000 0.000 0.766
Ho1 0.500 0.500 0.500

Properties
M_tot in μB per formula unit: 0.2
DOS(E_F) in states/eV/atom: 0.4210
ΔH_f (0 K) in eV/atom: -0.2327
Space-group type: P4/mmm, No. 123

Entry 5:
The following is a PBE-GGA calculation of an optimized crystal structure of Ho2MgCd2, from Alexandria via LeMat-Bulk.

Cell: 6.137 6.134 9.063 Å, 62.55 70.21 59.98°
Element x y z (fractional)
Cd1 0.996 0.733 0.009
Ho1 0.212 0.666 0.644
Cd2 0.261 0.233 0.509
Mg1 0.803 0.250 0.750
Ho2 0.523 0.834 0.856
Ho3 0.477 0.166 0.144
Cd3 0.739 0.767 0.491
Cd4 0.004 0.267 0.991
Ho4 0.788 0.334 0.356
Mg2 0.197 0.750 0.250

Properties
M_tot in μB per formula unit: 0.0
E above lowest polymorph in eV per atom: 0.000
DOS(E_F) in states/eV/atom: 1.2676
ΔH_f (0 K) in eV/atom: -0.1735
Space-group type: C2/c, No. 15

Entry 6:
The following is a PBE-GGA calculation of an optimized crystal structure of Ho3MgCd2, from Alexandria via LeMat-Bulk.

Cell: 3.747 5.267 8.384 Å, 108.31 90.00 90.00°
Element x y z (fractional)
Mg1 0.000 0.000 0.000
Ho1 0.500 0.831 0.661
Ho2 0.500 0.169 0.339
Cd1 0.000 0.660 0.320
Ho3 0.500 0.500 0.000
Cd2 0.000 0.340 0.680

Properties
M_tot in μB per formula unit: 0.0
E above lowest polymorph in eV per atom: 0.000
DOS(E_F) in states/eV/atom: 1.0809
ΔH_f (0 K) in eV/atom: -0.2418
Space-group type: Cmmm, No. 65

Entry 7:
The following is a PBE-GGA calculation of an optimized crystal structure of Ho2Mg2Cd3, from Alexandria via LeMat-Bulk.

Cell: 5.135 5.132 7.995 Å, 89.99 108.81 119.98°
Element x y z (fractional)
Mg1 0.698 0.849 0.547
Cd1 0.432 0.716 0.152
Ho1 0.840 0.420 0.262
Mg2 0.302 0.151 0.453
Ho2 0.160 0.580 0.738
Cd2 0.568 0.284 0.848
Cd3 0.000 0.000 0.000

Properties
M_tot in μB per formula unit: 0.0
DOS(E_F) in states/eV/atom: 0.6241
ΔH_f (0 K) in eV/atom: -0.1785
Space-group type: C2/m, No. 12

Entry 8:
The following is a PBE-GGA calculation of an optimized crystal structure of Ho3Mg4Cd4, from Alexandria via LeMat-Bulk.

Cell: 3.420 4.997 15.899 Å, 80.90 83.80 90.01°
Element x y z (fractional)
Mg1 0.590 0.092 0.816
Mg2 0.410 0.908 0.184
Mg3 0.736 0.736 0.528
Ho1 0.140 0.641 0.719
Cd1 0.317 0.816 0.367
Ho2 0.860 0.359 0.281
Cd2 0.683 0.184 0.633
Mg4 0.264 0.264 0.472
Cd3 0.547 0.547 0.906
Ho3 0.000 0.000 0.000
Cd4 0.453 0.453 0.094

Properties
M_tot in μB per formula unit: 0.0
E above lowest polymorph in eV per atom: 0.000
DOS(E_F) in states/eV/atom: 0.6363
ΔH_f (0 K) in eV/atom: -0.2137
Space-group type: P-1, No. 2

Entry 9:
The following is a PBE-GGA calculation of an optimized crystal structure of Ho3MgCd12, from Alexandria via LeMat-Bulk.

Cell: 4.582 4.582 17.842 Å, 90.00 90.00 90.00°
Element x y z (fractional)
Cd1 0.500 0.500 0.240
Cd2 0.500 0.000 0.371
Mg1 0.000 0.000 0.000
Cd3 0.500 0.000 0.116
Cd4 0.000 0.500 0.629
Cd5 0.500 0.000 0.884
Cd6 0.000 0.500 0.884
Ho1 0.000 0.000 0.240
Cd7 0.000 0.500 0.116
Ho2 0.000 0.000 0.500
Cd8 0.500 0.500 0.500
Cd9 0.000 0.500 0.371
Cd10 0.500 0.500 0.760
Cd11 0.500 0.000 0.629
Ho3 0.000 0.000 0.760
Cd12 0.500 0.500 0.000

Properties
M_tot in μB per formula unit: 0.0
DOS(E_F) in states/eV/atom: 0.5139
ΔH_f (0 K) in eV/atom: -0.2041
Space-group type: P4/mmm, No. 123

Entry 10:
The following is a PBE-GGA calculation of an optimized crystal structure of HoMg3Cd3, from Alexandria via LeMat-Bulk.

Cell: 7.530 7.530 7.530 Å, 90.00 90.00 90.00°
Element x y z (fractional)
Mg1 0.500 0.000 0.250
Ho1 0.000 0.000 0.000
Mg2 0.500 0.000 0.750
Ho2 0.500 0.500 0.500
Cd1 0.000 0.500 0.750
Mg3 0.000 0.250 0.500
Cd2 0.500 0.750 0.000
Mg4 0.000 0.750 0.500
Cd3 0.000 0.500 0.250
Mg5 0.250 0.500 0.000
Mg6 0.750 0.500 0.000
Cd4 0.500 0.250 0.000
Cd5 0.750 0.000 0.500
Cd6 0.250 0.000 0.500

Properties
M_tot in μB per formula unit: 0.0
E above lowest polymorph in eV per atom: 0.597
DOS(E_F) in states/eV/atom: 0.6609
ΔH_f (0 K) in eV/atom: 0.4861
Space-group type: Pm-3n, No. 223

Entry 11:
The following is a PBE-GGA calculation of an optimized crystal structure of Ho8MgCd2, from Alexandria via LeMat-Bulk.

Cell: 5.256 7.124 9.284 Å, 106.76 106.44 90.00°
Element x y z (fractional)
Ho1 0.668 0.961 0.336
Ho2 0.406 0.535 0.813
Ho3 0.187 0.280 0.375
Ho4 0.594 0.465 0.187
Ho5 0.332 0.039 0.664
Mg1 0.500 0.000 0.000
Ho6 0.975 0.235 0.950
Ho7 0.025 0.765 0.050
Cd1 0.188 0.701 0.377
Ho8 0.813 0.720 0.625
Cd2 0.812 0.299 0.623

Properties
M_tot in μB per formula unit: 0.0
DOS(E_F) in states/eV/atom: 0.8882
ΔH_f (0 K) in eV/atom: -0.0666
Space-group type: C2/m, No. 12

Entry 12:
The following is a PBE-GGA calculation of an optimized crystal structure of HoMgCd2, from Alexandria via LeMat-Bulk.

Cell: 3.828 5.006 5.006 Å, 90.00 90.00 90.00°
Element x y z (fractional)
Mg1 0.500 0.000 0.000
Cd1 0.000 0.000 0.500
Cd2 0.000 0.500 0.000
Ho1 0.500 0.500 0.500

Properties
M_tot in μB per formula unit: 0.0
DOS(E_F) in states/eV/atom: 0.6089
ΔH_f (0 K) in eV/atom: -0.2415
Space-group type: P4/mmm, No. 123

Entry 13:
The following is a PBE-GGA calculation of an optimized crystal structure of Ho2Mg8Cd, from Alexandria via LeMat-Bulk.

Cell: 4.675 4.675 12.639 Å, 90.00 90.00 90.00°
Element x y z (fractional)
Mg1 0.500 0.500 0.312
Mg2 0.500 0.000 0.868
Mg3 0.000 0.500 0.868
Mg4 0.500 0.500 0.688
Mg5 0.500 0.000 0.132
Ho1 0.000 0.000 0.688
Cd1 0.000 0.000 0.000
Ho2 0.000 0.000 0.312
Mg6 0.000 0.500 0.132
Mg7 0.500 0.000 0.500
Mg8 0.000 0.500 0.500

Properties
M_tot in μB per formula unit: 0.0
DOS(E_F) in states/eV/atom: 0.6946
ΔH_f (0 K) in eV/atom: -0.0441
Space-group type: P4/mmm, No. 123

Entry 14:
The following is a PBE-GGA calculation of an optimized crystal structure of HoMgCd3, from Alexandria via LeMat-Bulk.

Cell: 5.904 6.924 6.924 Å, 119.99 90.00 90.00°
Element x y z (fractional)
Ho1 0.250 0.333 0.667
Cd1 0.250 0.803 0.607
Mg1 0.000 0.000 0.000
Cd2 0.250 0.804 0.196
Cd3 0.750 0.196 0.804
Cd4 0.750 0.607 0.803
Cd5 0.250 0.393 0.197
Ho2 0.750 0.667 0.333
Cd6 0.750 0.197 0.393
Mg2 0.500 0.000 0.000

Properties
M_tot in μB per formula unit: 0.0
DOS(E_F) in states/eV/atom: 0.4023
ΔH_f (0 K) in eV/atom: -0.0501
Space-group type: P6_3/mmc, No. 194

Entry 15:
The following is a PBE-GGA calculation of an optimized crystal structure of Ho4Mg3Cd2, from Alexandria via LeMat-Bulk.

Cell: 5.266 5.266 9.822 Å, 90.00 90.00 60.00°
Element x y z (fractional)
Ho1 0.333 0.334 0.119
Mg1 0.667 0.667 0.514
Ho2 0.667 0.666 0.881
Ho3 0.000 0.000 0.673
Ho4 0.000 0.000 0.327
Mg2 0.000 0.000 0.000
Cd1 0.667 0.667 0.200
Cd2 0.333 0.333 0.800
Mg3 0.333 0.333 0.486

Properties
M_tot in μB per formula unit: 0.0
DOS(E_F) in states/eV/atom: 0.8900
ΔH_f (0 K) in eV/atom: -0.1558
Space-group type: P-3m1, No. 164

Entry 16:
The following is a PBE-GGA calculation of an optimized crystal structure of HoMg10Cd2, from Alexandria via LeMat-Bulk.

Cell: 5.943 7.698 7.741 Å, 81.48 67.43 67.29°
Element x y z (fractional)
Mg1 0.651 0.353 0.346
Mg2 0.498 0.214 0.791
Mg3 0.000 0.000 0.500
Mg4 0.003 0.647 0.346
Cd1 0.000 0.500 0.000
Mg5 0.712 0.786 0.791
Mg6 0.500 0.000 0.500
Mg7 0.997 0.353 0.654
Ho1 0.000 0.000 0.000
Mg8 0.502 0.786 0.209
Mg9 0.288 0.214 0.209
Cd2 0.500 0.500 0.000
Mg10 0.349 0.647 0.654

Properties
M_tot in μB per formula unit: 0.0
DOS(E_F) in states/eV/atom: 0.4224
ΔH_f (0 K) in eV/atom: -0.0563
Space-group type: Fmmm, No. 69

Entry 17:
The following is a PBE-GGA calculation of an optimized crystal structure of Ho5MgCd, from Alexandria via LeMat-Bulk.

Cell: 6.107 6.107 11.588 Å, 102.05 102.05 93.67°
Element x y z (fractional)
Mg1 0.469 0.531 0.750
Ho1 0.004 0.573 0.152
Ho2 0.427 0.996 0.348
Ho3 0.889 0.111 0.250
Ho4 0.111 0.889 0.750
Ho5 0.573 0.004 0.652
Ho6 0.996 0.427 0.848
Ho7 0.768 0.466 0.539
Ho8 0.232 0.534 0.461
Ho9 0.534 0.232 0.961
Mg2 0.531 0.469 0.250
Cd1 0.000 0.000 0.000
Cd2 0.000 0.000 0.500
Ho10 0.466 0.768 0.039

Properties
M_tot in μB per formula unit: 0.0
DOS(E_F) in states/eV/atom: 1.1991
ΔH_f (0 K) in eV/atom: 0.0698
Space-group type: C2/c, No. 15

Entry 18:
The following is a PBE-GGA calculation of an optimized crystal structure of Ho5MgCd6, from Alexandria via LeMat-Bulk.

Cell: 5.175 9.035 9.035 Å, 119.73 106.65 106.65°
Element x y z (fractional)
Cd1 0.738 0.238 0.238
Ho1 0.500 0.500 0.500
Cd2 0.758 0.596 0.920
Cd3 0.262 0.762 0.762
Mg1 0.000 0.000 0.000
Cd4 0.758 0.920 0.596
Ho2 0.000 0.333 0.667
Cd5 0.242 0.080 0.404
Ho3 0.500 0.167 0.833
Ho4 0.500 0.833 0.167
Ho5 0.000 0.667 0.333
Cd6 0.242 0.404 0.080

Properties
M_tot in μB per formula unit: 0.0
DOS(E_F) in states/eV/atom: 0.7237
ΔH_f (0 K) in eV/atom: -0.3014
Space-group type: Immm, No. 71

Entry 19:
The following is a PBE-GGA calculation of an optimized crystal structure of Ho2MgCd6, from Alexandria via LeMat-Bulk.

Cell: 3.313 8.630 8.630 Å, 120.00 90.00 90.00°
Element x y z (fractional)
Cd1 0.500 0.000 0.330
Ho1 0.000 0.667 0.333
Mg1 0.000 0.000 0.000
Cd2 0.500 0.670 0.670
Cd3 0.500 0.330 0.330
Ho2 0.000 0.333 0.667
Cd4 0.500 0.670 0.000
Cd5 0.500 0.330 0.000
Cd6 0.500 0.000 0.670

Properties
M_tot in μB per formula unit: 0.0
E above lowest polymorph in eV per atom: 0.000
DOS(E_F) in states/eV/atom: 0.6014
ΔH_f (0 K) in eV/atom: -0.2263
Space-group type: P6/mmm, No. 191

Entry 20:
The following is a PBE-GGA calculation of an optimized crystal structure of HoMg2Cd3, from Alexandria via LeMat-Bulk.

Cell: 4.912 4.912 13.230 Å, 90.00 90.00 120.00°
Element x y z (fractional)
Cd1 0.667 0.333 0.864
Cd2 0.333 0.667 0.136
Mg1 0.333 0.667 0.600
Mg2 0.333 0.667 0.900
Mg3 0.667 0.333 0.100
Ho1 0.000 0.000 0.750
Cd3 0.000 0.000 0.500
Cd4 0.333 0.667 0.364
Ho2 0.000 0.000 0.250
Mg4 0.667 0.333 0.400
Cd5 0.000 0.000 0.000
Cd6 0.667 0.333 0.636

Properties
M_tot in μB per formula unit: 0.0
E above lowest polymorph in eV per atom: 0.000
DOS(E_F) in states/eV/atom: 0.5360
ΔH_f (0 K) in eV/atom: -0.1964
Space-group type: P6_3/mmc, No. 194